# 1
DFT (GGA-PBE) results for crystalline Ac2Sm5Y12 at its relaxed geometry.

The structure in POSCAR format:
```
Ac2Sm5Y12
1.0
8.763 -3.590 0.000
8.763 3.590 0.000
-2.330 0.000 10.738
Ac Sm Y
2 5 12
Cartesian
8.763 1.880 0.000 Ac
8.763 -1.880 0.000 Ac
3.403 0.000 5.443 Sm
4.705 0.000 0.031 Sm
7.598 0.000 5.369 Sm
10.492 0.000 10.707 Sm
11.793 0.000 5.295 Sm
3.743 1.918 8.328 Y
0.023 0.000 3.994 Y
5.875 1.816 3.023 Y
9.321 1.816 7.715 Y
11.453 1.918 2.410 Y
6.282 0.000 7.908 Y
8.914 0.000 2.830 Y
3.743 -1.918 8.328 Y
5.875 -1.816 3.023 Y
9.321 -1.816 7.715 Y
15.173 0.000 6.744 Y
11.453 -1.918 2.410 Y
```

Results
For the formation energy, the calculation gives 0.278 eV/atom. Its energy relative to the lowest polymorph listed for this composition is 2.862 eV/f.u.

# 2
DFT (GGA-PBE) results for crystalline Zn2IrBr at its relaxed geometry.

The structure in POSCAR format:
```
Zn2IrBr
1.0
0.000 3.241 3.241
3.241 0.000 3.241
3.241 3.241 0.000
Zn Ir Br
2 1 1
Cartesian
1.621 1.621 1.621 Zn
4.862 4.862 4.862 Zn
0.000 0.000 0.000 Ir
3.241 3.241 3.241 Br
```

Results
The calculation puts the formation energy (no corrections) at 0.59 eV per atom. Its energy relative to the lowest polymorph listed for this composition is 2.675 eV/f.u.

# 3
DFT (GGA-PBE) results for crystalline Cs6AgI3Br2 at its relaxed geometry.

The structure in POSCAR format:
```
Cs6AgI3Br2
1.0
4.698 -8.138 0.000
4.698 8.138 0.000
-3.134 0.000 8.865
Cs Ag I Br
6 1 3 2
Cartesian
-0.041 2.778 6.755 Cs
1.492 0.000 2.104 Cs
-0.041 -2.778 6.755 Cs
6.304 2.778 2.110 Cs
4.771 0.000 6.761 Cs
6.304 -2.778 2.110 Cs
4.698 0.000 0.000 Ag
-1.567 0.000 4.432 I
3.131 2.674 4.432 I
3.131 -2.674 4.432 I
4.698 5.420 0.000 Br
4.698 -5.420 0.000 Br
```

Results
The calculation puts the formation energy (no corrections) at -1.35 eV per atom.

# 4
DFT (GGA-PBE) results for crystalline LaAlPt2 at its relaxed geometry.

The structure in POSCAR format:
```
LaAlPt2
1.0
3.719 0.000 0.000
0.000 3.719 0.000
0.000 0.000 6.210
La Al Pt
1 1 2
Cartesian
0.000 0.000 0.000 La
1.859 1.859 3.767 Al
0.000 0.000 3.305 Pt
1.859 1.859 1.281 Pt
```

Results
For the formation energy, the calculation gives -0.797 eV/atom.

# 5
DFT (GGA-PBE) results for crystalline HgSb at its relaxed geometry.

The structure in POSCAR format:
```
HgSb
1.0
3.760 0.000 0.000
0.000 3.760 0.000
0.000 0.000 8.228
Hg Sb
2 2
Cartesian
0.940 0.940 0.961 Hg
2.820 2.820 7.268 Hg
0.940 0.940 4.871 Sb
2.820 2.820 3.357 Sb
```

Results
The calculation puts the formation energy (no corrections) at 0.14 eV per atom. Its energy relative to the lowest polymorph listed for this composition is 0.214 eV/f.u.

# 6
DFT (GGA-PBE) results for crystalline TiTl3Ag at its relaxed geometry.

The structure in POSCAR format:
```
TiTl3Ag
1.0
5.380 0.000 0.000
0.000 5.380 0.000
0.000 0.000 5.380
Ti Tl Ag
1 3 1
Cartesian
0.000 0.000 0.000 Ti
0.000 2.690 2.690 Tl
2.690 0.000 2.690 Tl
2.690 2.690 0.000 Tl
2.690 2.690 2.690 Ag
```

Results
For the formation energy, the calculation gives 0.876 eV/atom. Its energy relative to the lowest polymorph listed for this composition is 1.268 eV/f.u.

# 7
DFT (GGA-PBE) results for crystalline Nd4AuCCl2 at its relaxed geometry.

The structure in POSCAR format:
```
Nd4AuCCl2
1.0
7.175 0.000 0.000
0.000 3.948 0.000
-2.325 0.000 7.086
Nd Au C Cl
4 1 1 2
Cartesian
1.001 0.000 1.461 Nd
-0.239 1.974 5.565 Nd
5.090 1.974 1.521 Nd
3.850 0.000 5.625 Nd
-1.162 0.000 3.543 Au
0.000 1.974 0.000 C
3.588 0.000 0.000 Cl
2.425 1.974 3.543 Cl
```

Results
The calculation puts the formation energy (no corrections) at -0.96 eV per atom.

# 8
DFT (GGA-PBE) results for crystalline Mn3CuI at its relaxed geometry.

The structure in POSCAR format:
```
Mn3CuI
1.0
4.733 0.000 0.000
0.000 4.733 0.000
0.000 0.000 4.733
Mn Cu I
3 1 1
Cartesian
0.000 0.000 2.367 Mn
0.000 2.367 0.000 Mn
2.367 0.000 0.000 Mn
0.000 0.000 0.000 Cu
2.367 2.367 2.367 I
```

Results
The calculation puts the formation energy (no corrections) at 0.80 eV per atom. Its energy relative to the lowest polymorph listed for this composition is 0.000 eV/f.u.

# 9
DFT (GGA-PBE) results for crystalline Cd5In5Pb2 at its relaxed geometry.

The structure in POSCAR format:
```
Cd5In5Pb2
1.0
7.228 -2.347 0.000
7.228 2.347 0.000
-5.325 0.000 9.296
Cd In Pb
5 5 2
Cartesian
0.000 0.000 0.000 Cd
-0.174 0.000 4.650 Cd
2.177 0.000 2.370 Cd
6.954 0.000 6.926 Cd
9.305 0.000 4.646 Cd
-0.407 0.000 9.274 In
1.971 0.000 6.947 In
4.566 0.000 4.648 In
7.160 0.000 2.349 In
9.538 0.000 0.022 In
-2.728 0.000 6.938 Pb
11.859 0.000 2.358 Pb
```

Results
For the formation energy, the calculation gives 0.038 eV/atom.

# 10
DFT (GGA-PBE) results for crystalline LaPr5SmDy2 at its relaxed geometry.

The structure in POSCAR format:
```
LaPr5SmDy2
1.0
2.892 -10.297 0.000
2.892 10.297 0.000
0.000 0.000 10.755
La Pr Sm Dy
2 10 2 4
Cartesian
2.892 8.551 5.378 La
2.892 -8.551 0.000 La
2.892 9.839 8.521 Pr
2.892 7.990 0.834 Pr
2.892 6.079 8.129 Pr
2.892 5.770 3.919 Pr
2.892 0.334 0.815 Pr
2.892 -0.334 6.192 Pr
2.892 -5.770 9.297 Pr
2.892 -6.079 2.751 Pr
2.892 -7.990 6.211 Pr
2.892 -9.839 3.143 Pr
2.892 4.102 0.671 Sm
2.892 -4.102 6.049 Sm
2.892 2.407 4.018 Dy
2.892 2.329 8.441 Dy
2.892 -2.329 3.063 Dy
2.892 -2.407 9.396 Dy
```

Results
For the formation energy, the calculation gives 0.143 eV/atom.

# 11
DFT (GGA-PBE) results for crystalline GeTe2Cl2 at its relaxed geometry.

The structure in POSCAR format:
```
GeTe2Cl2
1.0
9.018 0.000 0.000
0.000 9.018 0.000
0.000 0.000 3.164
Ge Te Cl
2 4 4
Cartesian
0.000 0.000 0.000 Ge
4.509 4.509 0.000 Ge
1.818 2.691 0.000 Te
2.691 7.200 0.000 Te
6.327 1.818 0.000 Te
7.200 6.327 0.000 Te
1.085 5.594 1.582 Cl
3.424 1.085 1.582 Cl
5.594 7.934 1.582 Cl
7.934 3.424 1.582 Cl
```

Results
The calculation puts the formation energy (no corrections) at 0.20 eV per atom. Its energy relative to the lowest polymorph listed for this composition is 0.165 eV/f.u.

# 12
DFT (GGA-PBE) results for crystalline SrAcSm2S4 at its relaxed geometry.

The structure in POSCAR format:
```
SrAcSm2S4
1.0
7.171 0.000 0.000
0.000 4.112 0.000
-2.352 0.000 6.819
Sr Ac Sm S
1 1 2 4
Cartesian
0.000 0.000 0.000 Sr
3.585 2.056 0.000 Ac
-1.176 2.056 3.410 Sm
2.409 0.000 3.410 Sm
-0.001 0.000 4.999 S
1.187 2.056 1.809 S
3.632 2.056 5.010 S
4.819 0.000 1.820 S
```

Results
The calculation puts the formation energy (no corrections) at -2.02 eV per atom.

# 13
DFT (GGA-PBE) results for crystalline KTlBrCl at its relaxed geometry.

The structure in POSCAR format:
```
KTlBrCl
1.0
0.000 3.955 3.955
3.955 0.000 3.955
3.955 3.955 0.000
K Tl Br Cl
1 1 1 1
Cartesian
0.000 0.000 0.000 K
3.955 3.955 3.955 Tl
5.932 5.932 5.932 Br
1.977 1.977 1.977 Cl
```

Results
The calculation puts the formation energy (no corrections) at -1.33 eV per atom. Its energy relative to the lowest polymorph listed for this composition is 0.163 eV/f.u.

# 14
DFT (GGA-PBE) results for crystalline BaCa2PdI at its relaxed geometry.

The structure in POSCAR format:
```
BaCa2PdI
1.0
5.617 0.000 0.000
0.000 5.617 0.000
0.000 0.000 6.419
Ba Ca Pd I
1 2 1 1
Cartesian
0.000 0.000 0.000 Ba
0.000 2.808 3.210 Ca
2.808 0.000 3.210 Ca
0.000 0.000 3.210 Pd
2.808 2.808 0.000 I
```

Results
The calculation puts the formation energy (no corrections) at -0.62 eV per atom.

# 15
DFT (GGA-PBE) results for crystalline MnPCSeN at its relaxed geometry.

The structure in POSCAR format:
```
MnPCSeN
1.0
3.439 -1.409 0.000
3.439 1.409 0.000
-1.699 0.000 7.279
Mn P C Se N
1 1 1 1 1
Cartesian
0.000 0.000 0.000 Mn
3.796 0.000 2.103 P
0.318 0.000 6.932 C
1.413 0.000 5.348 Se
6.266 0.000 1.889 N
```

Results
The calculation puts the formation energy (no corrections) at 0.52 eV per atom. Its energy relative to the lowest polymorph listed for this composition is 1.518 eV/f.u.

# 16
DFT (GGA-PBE) results for crystalline Li3As2H at its relaxed geometry.

The structure in POSCAR format:
```
Li3As2H
1.0
7.354 0.000 0.000
0.000 8.619 0.000
-1.168 0.000 5.798
Li As H
12 8 4
Cartesian
0.478 2.048 0.094 Li
-0.106 2.261 2.993 Li
1.620 4.602 3.375 Li
2.204 8.327 0.476 Li
2.300 4.619 0.469 Li
1.716 8.310 3.368 Li
4.470 0.310 2.431 Li
3.886 4.000 5.330 Li
3.983 0.293 5.323 Li
4.566 4.017 2.424 Li
6.292 6.358 2.806 Li
5.708 6.571 5.705 Li
7.022 0.000 1.644 As
-0.836 8.619 4.155 As
-0.252 4.310 1.256 As
6.438 4.309 4.543 As
2.755 2.145 3.580 As
3.339 2.165 0.681 As
2.847 6.454 5.117 As
3.431 6.474 2.218 As
1.910 6.231 1.914 H
1.326 6.697 4.813 H
4.860 1.922 0.986 H
4.276 2.388 3.885 H
```

# 17
DFT (GGA-PBE) results for crystalline CaH3Os at its relaxed geometry.

The structure in POSCAR format:
```
CaH3Os
1.0
3.649 0.000 0.000
0.000 3.649 0.000
0.000 0.000 3.649
Ca H Os
1 3 1
Cartesian
0.000 0.000 0.000 Ca
0.000 1.825 1.825 H
1.825 0.000 1.825 H
1.825 1.825 0.000 H
1.825 1.825 1.825 Os
```

# 18
DFT (GGA-PBE) results for crystalline YTe3H at its relaxed geometry.

The structure in POSCAR format:
```
YTe3H
1.0
5.891 0.000 0.000
0.000 5.891 0.000
0.000 0.000 5.891
Y Te H
1 3 1
Cartesian
0.000 0.000 0.000 Y
0.000 0.000 2.945 Te
0.000 2.945 0.000 Te
2.945 0.000 0.000 Te
2.945 2.945 2.945 H
```

Results
Its energy relative to the lowest polymorph listed for this composition is 1.158 eV/f.u.

# 19
DFT (GGA-PBE) results for crystalline Ac4Se4I3 at its relaxed geometry.

The structure in POSCAR format:
```
Ac4Se4I3
1.0
11.948 0.000 0.000
0.000 2.358 7.398
0.000 -2.358 7.398
Ac Se I
4 4 3
Cartesian
0.000 0.000 0.000 Ac
2.886 0.000 10.488 Ac
5.974 0.000 0.532 Ac
9.062 0.000 10.488 Ac
0.000 0.000 9.427 Se
2.956 0.000 1.115 Se
5.974 0.000 9.885 Se
8.993 0.000 1.115 Se
1.917 0.000 5.402 I
5.974 0.000 5.554 I
10.031 0.000 5.402 I
```

Results
The calculation puts the formation energy (no corrections) at -1.72 eV per atom.

# 20
DFT (GGA-PBE) results for crystalline ZrBePd5 at its relaxed geometry.

The structure in POSCAR format:
```
ZrBePd5
1.0
3.986 0.000 0.000
0.000 3.986 0.000
0.000 0.000 6.785
Zr Be Pd
1 1 5
Cartesian
0.000 0.000 0.000 Zr
1.993 1.993 3.392 Be
0.000 1.993 2.023 Pd
0.000 1.993 4.762 Pd
1.993 0.000 2.023 Pd
1.993 0.000 4.762 Pd
1.993 1.993 0.000 Pd
```

Results
For the formation energy, the calculation gives -0.614 eV/atom.

# 21
DFT (GGA-PBE) results for crystalline LaTbDy3Tm at its relaxed geometry.

The structure in POSCAR format:
```
LaTbDy3Tm
1.0
9.953 -2.812 0.000
9.953 2.812 0.000
-0.011 0.000 7.066
La Tb Dy Tm
2 2 6 2
Cartesian
2.830 0.000 0.197 La
17.064 0.000 6.868 La
2.987 0.000 3.219 Tb
16.907 0.000 3.847 Tb
0.452 0.000 5.149 Dy
5.541 0.000 5.379 Dy
6.708 0.000 1.954 Dy
13.186 0.000 5.112 Dy
14.353 0.000 1.687 Dy
19.442 0.000 1.917 Dy
8.820 0.000 5.014 Tm
11.075 0.000 2.052 Tm
```

Results
For the formation energy, the calculation gives 0.221 eV/atom.

# 22
DFT (GGA-PBE) results for crystalline La7Ag2Pt2 at its relaxed geometry.

The structure in POSCAR format:
```
La7Ag2Pt2
1.0
4.115 -5.781 0.000
4.115 5.781 0.000
0.000 0.000 7.367
La Ag Pt
7 2 2
Cartesian
0.000 0.000 0.000 La
2.058 2.891 1.973 La
2.058 2.891 5.393 La
2.058 -2.891 1.973 La
2.058 -2.891 5.393 La
4.115 0.000 1.869 La
4.115 0.000 5.498 La
1.394 0.000 3.683 Ag
6.836 0.000 3.683 Ag
4.115 2.446 0.000 Pt
4.115 -2.446 0.000 Pt
```

Results
For the formation energy, the calculation gives -0.423 eV/atom. Its energy relative to the lowest polymorph listed for this composition is 1.155 eV/f.u.

# 23
DFT (GGA-PBE) results for crystalline NaGe at its relaxed geometry.

The structure in POSCAR format:
```
NaGe
1.0
2.491 -9.870 0.000
2.491 9.870 0.000
0.000 0.000 2.907
Na Ge
3 3
Cartesian
0.000 0.000 0.000 Na
2.491 2.750 0.000 Na
2.491 -2.750 0.000 Na
2.491 5.549 1.454 Ge
2.491 0.000 1.454 Ge
2.491 -5.549 1.454 Ge
```

Results
For the formation energy, the calculation gives 0.071 eV/atom.

| no. | uncorrected energy (eV/atom) |
| --- | --- |
| 1 | -5.48 |
| 2 | -2.68 |
| 3 | -2.68 |
| 4 | -5.99 |
| 5 | -2.08 |
| 6 | -2.69 |
| 7 | -5.37 |
| 8 | -5.83 |
| 9 | -2.10 |
| 10 | -4.61 |
| 11 | -2.72 |
| 12 | -5.99 |
| 13 | -3.08 |
| 14 | -3.15 |
| 15 | -6.60 |
| 16 | -3.47 |
| 17 | -4.90 |
| 18 | -3.62 |
| 19 | -4.91 |
| 20 | -6.08 |
| 21 | -4.42 |
| 22 | -5.18 |
| 23 | -2.90 |